Entry 1:
KPaIn2Br8 | Alexandria | PBE-GGA | relaxed; size of the total moment = 0.00 μB/cell; formation energy (no corrections) = -1228.1 meV/atom
1.0
7.542 -0.098 -0.006
-0.083 7.344 -0.003
0.003 0.018 9.560
K Pa In Br
1 1 2 8
Direct
0.000 0.000 0.500
0.000 0.000 0.000
0.500 0.500 0.730
0.500 0.500 0.270
0.127 0.774 0.204
0.689 0.809 0.000
0.873 0.226 0.203
0.873 0.226 0.796
0.311 0.191 0.000
0.127 0.774 0.797
0.655 0.722 0.500
0.345 0.278 0.500

---

Entry 2:
K2PaInBr8 | Alexandria | PBE-GGA | relaxed; size of the total moment = 0.17 μB/cell; formation energy (no corrections) = -1375.2 meV/atom; density of states at the Fermi level = 4.5 states/eV/f.u.
1.0
7.610 -0.169 -0.001
-0.178 7.004 -0.011
0.010 0.007 9.874
K Pa In Br
2 1 1 8
Direct
0.500 0.499 0.738
0.500 0.501 0.262
0.000 0.000 0.000
0.000 0.000 0.500
0.136 0.781 0.200
0.696 0.770 0.000
0.864 0.218 0.200
0.864 0.219 0.800
0.304 0.230 0.000
0.136 0.782 0.800
0.688 0.727 0.501
0.312 0.273 0.499

---

Entry 3:
KIn2PbBr8 | Alexandria | PBE-GGA | relaxed; size of the total moment = 0.00 μB/cell; formation energy (no corrections) = -868.2 meV/atom; density of states at the Fermi level = 7.3 states/eV/f.u.
1.0
7.138 0.000 0.000
3.569 6.182 0.000
3.569 2.061 10.749
K In Pb Br
1 2 1 8
Direct
0.000 0.000 0.000
0.746 0.746 0.761
0.254 0.254 0.239
0.500 0.500 0.500
0.666 0.666 0.002
0.334 0.334 0.998
0.588 0.215 0.315
0.785 0.412 0.685
0.119 0.785 0.685
0.215 0.881 0.315
0.881 0.588 0.315
0.412 0.119 0.685

---

Entry 4:
KInPb2Br6 | Alexandria | PBE-GGA | relaxed; size of the total moment = 0.00 μB/cell; formation energy (no corrections) = -1031.1 meV/atom; density of states at the Fermi level = 0.0 states/eV/f.u.
1.0
-1.513 6.577 4.485
-6.670 4.394 -1.372
-6.228 -0.241 5.573
K In Pb Br
1 1 2 6
Direct
0.303 0.303 0.090
0.807 0.807 0.580
0.513 0.513 0.462
0.014 0.014 0.958
0.652 0.233 0.239
0.233 0.875 0.239
0.875 0.652 0.239
0.371 0.738 0.736
0.738 0.155 0.736
0.155 0.371 0.736

---

Number 1: uncorrected energy -0.2707 Ry/atom. Number 2: uncorrected energy -0.2714 Ry/atom. Number 3: uncorrected energy -0.2088 Ry/atom. Number 4: uncorrected energy -0.2323 Ry/atom.